--- 1 ---
Entry from Alexandria: a relaxed structure of KAg2O4 (PBE).

Computed properties:
The density of states at the Fermi level comes out at 10.86 states/eV/cell. The value obtained for the magnetization is 2.04 μB/f.u.

Cell: 6.766 6.766 6.766 Å, 118.23 93.10 118.23°
Last column: magnetic moment on the atom in μB.
Element x y z (fractional)
O 0.203 0.802 0.401  0.31
O 0.152 0.302 0.849  0.31
O 0.599 0.802 0.402  0.31
O 0.151 0.302 0.453  0.31
O 0.598 0.198 0.400  0.31
O 0.547 0.698 0.850  0.31
O 0.600 0.198 0.797  0.31
O 0.150 0.698 0.848  0.31
Ag 0.375 0.750 0.125  0.26
Ag 0.375 0.750 0.625  0.26
Ag 0.875 0.250 0.625  0.26
Ag 0.375 0.250 0.625  0.26
K 0.750 0.500 0.250  0.01
K 0.000 0.000 0.000  0.01

=====

--- 2 ---
Entry from Alexandria: a relaxed structure of KAg2O4 (PBE).

Computed properties:
The density of states at the Fermi level comes out at 7.00 states/eV/cell. The value obtained for the magnetization is 1.01 μB/f.u.

Cell: 6.677 6.677 6.951 Å, 118.70 118.70 90.00°
Last column: magnetic moment on the atom in μB.
Element x y z (fractional)
Ag 0.125 0.875 0.250  0.07
Ag 0.625 0.875 0.750  0.07
Ag 0.125 0.375 0.250  0.07
Ag 0.125 0.875 0.750  0.07
O 0.454 0.562 0.399  0.18
O 0.438 0.055 0.601  0.18
O 0.945 0.837 0.399  0.18
O 0.796 0.188 0.101  0.18
O 0.305 0.913 0.101  0.18
O 0.163 0.546 0.601  0.18
O 0.087 0.204 0.899  0.18
O 0.812 0.695 0.899  0.18
K 0.750 0.250 0.500  0.00
K 0.500 0.500 0.000  0.00

=====

Quick ranking, most stable first: 2, 1.

=====

--- 1 ---
Entry from Alexandria: a relaxed structure of KAg3O (PBE).

Computed properties:
The density of states at the Fermi level comes out at 1.44 states/eV/cell. The value obtained for the magnetization is 0.00 μB/f.u.

Cell: 5.577 5.577 5.577 Å, 90.00 90.00 90.00°
Element x y z (fractional)
Ag 0.000 0.500 0.000
Ag 0.500 0.000 0.000
Ag 0.000 0.000 0.500
O 0.500 0.500 0.500
K 0.000 0.000 0.000

=====

--- 2 ---
Entry from Alexandria: a relaxed structure of KAg3O (PBE).

Computed properties:
The density of states at the Fermi level comes out at 1.18 states/eV/cell. The value obtained for the magnetization is 0.00 μB/f.u.

Cell: 4.747 4.747 4.747 Å, 90.00 90.00 90.00°
Element x y z (fractional)
Ag 0.500 0.000 0.000
Ag 0.000 0.000 0.500
Ag 0.000 0.500 0.000
K 0.500 0.500 0.500
O 0.000 0.000 0.000

=====

Quick ranking, most stable first: 2, 1.

=====

--- 1 ---
Entry from Alexandria: a relaxed structure of KAgPO2 (PBE).

Computed properties:
The density of states at the Fermi level comes out at 3.76 states/eV/cell. The value obtained for the magnetization is 4.78 μB/f.u.

Cell: 4.611 4.611 6.284 Å, 90.00 90.00 90.00°
Last column: magnetic moment on the atom in μB.
Element x y z (fractional)
Ag 0.500 0.500 0.500  0.04
P 0.000 0.000 0.500  0.83
O 0.500 0.000 0.000  1.11
O 0.000 0.500 0.000  1.11
K 0.000 0.000 0.000  0.08

=====

--- 2 ---
Entry from Alexandria: a relaxed structure of KAgPO2 (PBE).

Computed properties:
The density of states at the Fermi level comes out at 5.76 states/eV/cell. The value obtained for the magnetization is 0.92 μB/f.u.

Cell: 4.437 4.437 4.634 Å, 90.00 90.00 90.00°
Last column: magnetic moment on the atom in μB.
Element x y z (fractional)
Ag 0.000 0.000 0.000  0.00
P 0.000 0.000 0.500  0.22
K 0.500 0.500 0.500  0.01
O 0.500 0.000 0.000  0.19
O 0.000 0.500 0.000  0.19

=====

Quick ranking, most stable first: 2, 1.

=====

--- 1 ---
Entry from Alexandria: a relaxed structure of KAgOs2 (PBE).

Computed properties:
The density of states at the Fermi level comes out at 4.17 states/eV/cell. The value obtained for the magnetization is 0.00 μB/f.u.

Cell: 2.623 4.836 6.846 Å, 90.00 90.00 90.00°
Element x y z (fractional)
K 0.500 0.500 0.750
Ag 0.500 0.500 0.250
Os 0.000 0.000 0.418
Os 0.000 0.000 0.082

=====

--- 2 ---
Entry from Alexandria: a relaxed structure of KAgOs2 (PBE).

Computed properties:
The density of states at the Fermi level comes out at 3.34 states/eV/cell. The value obtained for the magnetization is 0.00 μB/f.u.

Cell: 4.397 4.397 7.703 Å, 86.40 86.40 36.33°
Element x y z (fractional)
Ag 0.485 0.485 0.563
K 0.249 0.249 0.236
Os 0.755 0.755 0.792
Os 0.011 0.011 0.910

=====

Quick ranking, most stable first: 2, 1.

=====

--- 1 ---
Entry from Alexandria: a relaxed structure of KAg3Os (PBE).

Computed properties:
The density of states at the Fermi level comes out at 3.05 states/eV/cell. The value obtained for the magnetization is 2.21 μB/f.u.

Cell: 5.215 5.215 5.215 Å, 90.00 90.00 90.00°
Last column: magnetic moment on the atom in μB.
Element x y z (fractional)
Ag 0.500 0.000 0.000  0.06
Ag 0.000 0.500 0.000  0.10
Ag 0.000 0.000 0.500  0.18
K 0.500 0.500 0.500  0.00
Os 0.000 0.000 0.000  1.73

=====

--- 2 ---
Entry from Alexandria: a relaxed structure of KAg3Os (PBE).

Computed properties:
The density of states at the Fermi level comes out at 10.04 states/eV/cell. The value obtained for the magnetization is 2.08 μB/f.u.

Cell: 5.097 5.097 5.097 Å, 90.00 90.00 90.00°
Last column: magnetic moment on the atom in μB.
Element x y z (fractional)
Ag 0.500 0.000 0.000  -0.03
Ag 0.000 0.500 0.000  -0.04
Ag 0.000 0.000 0.500  -0.04
Os 0.500 0.500 0.500  2.22
K 0.000 0.000 0.000  -0.03

=====

Quick ranking, most stable first: 1, 2.

=====

--- 1 ---
Entry from Alexandria: a relaxed structure of KAgOs3 (PBE).

Computed properties:
The density of states at the Fermi level comes out at 6.73 states/eV/cell. The value obtained for the magnetization is 2.86 μB/f.u.

Cell: 4.609 4.609 4.609 Å, 90.00 90.00 90.00°
Last column: magnetic moment on the atom in μB.
Element x y z (fractional)
Os 0.000 0.500 0.000  0.90
Os 0.500 0.000 0.000  0.98
Os 0.000 0.000 0.500  0.77
Ag 0.500 0.500 0.500  0.07
K 0.000 0.000 0.000  0.00

=====

--- 2 ---
Entry from Alexandria: a relaxed structure of KAgOs3 (PBE).

Computed properties:
The density of states at the Fermi level comes out at 7.51 states/eV/cell. The value obtained for the magnetization is 6.62 μB/f.u.

Cell: 4.989 4.989 4.989 Å, 90.00 90.00 90.00°
Last column: magnetic moment on the atom in μB.
Element x y z (fractional)
Os 0.000 0.500 0.000  1.99
Os 0.000 0.000 0.500  2.44
Os 0.500 0.000 0.000  1.49
Ag 0.000 0.000 0.000  0.16
K 0.500 0.500 0.500  0.00

=====

Quick ranking, most stable first: 2, 1.

=====

--- 1 ---
Entry from Alexandria: a relaxed structure of K2Ag2P (PBE).

Computed properties:
The density of states at the Fermi level comes out at 2.78 states/eV/cell. The value obtained for the magnetization is 0.00 μB/f.u.

Cell: 6.961 6.961 5.378 Å, 90.00 90.00 90.00°
Element x y z (fractional)
K 0.319 0.181 0.500
K 0.819 0.319 0.500
K 0.681 0.819 0.500
K 0.181 0.681 0.500
P 0.000 0.000 0.000
P 0.500 0.500 0.000
Ag 0.147 0.353 0.000
Ag 0.853 0.647 0.000
Ag 0.353 0.853 0.000
Ag 0.647 0.147 0.000

=====

--- 2 ---
Entry from Alexandria: a relaxed structure of K2Ag2P (PBE).

Computed properties:
The density of states at the Fermi level comes out at 1.96 states/eV/cell. The value obtained for the magnetization is 0.00 μB/f.u.

Cell: 3.828 3.828 10.544 Å, 79.54 79.54 90.00°
Element x y z (fractional)
P 0.000 0.000 0.000
Ag 0.750 0.250 0.500
Ag 0.250 0.750 0.500
K 0.405 0.405 0.189
K 0.595 0.595 0.811

=====

Quick ranking, most stable first: 1, 2.

=====

--- 1 ---
Entry from Alexandria: a relaxed structure of KAgP2 (PBE).

Computed properties:
The density of states at the Fermi level comes out at 2.84 states/eV/cell. The value obtained for the magnetization is 0.00 μB/f.u.

Cell: 4.797 4.797 9.553 Å, 75.46 75.46 90.00°
Element x y z (fractional)
Ag 0.750 0.250 0.500
Ag 0.000 0.000 0.000
P 0.875 0.125 0.250
P 0.875 0.625 0.250
P 0.375 0.125 0.750
P 0.875 0.125 0.750
K 0.500 0.500 0.000
K 0.250 0.750 0.500

=====

--- 2 ---
Entry from Alexandria: a relaxed structure of KAgP2 (PBE).

Computed properties:
The density of states at the Fermi level comes out at 0.61 states/eV/cell. The value obtained for the magnetization is 0.00 μB/f.u.

Cell: 3.355 5.113 6.809 Å, 60.77 90.00 90.00°
Element x y z (fractional)
K 0.500 0.057 0.743
Ag 0.000 0.519 0.233
P 0.500 0.820 0.375
P 0.000 0.104 0.149

=====

Quick ranking, most stable first: 2, 1.

=====

--- 1 ---
Entry from Alexandria: a relaxed structure of KAgP2 (PBE).

Computed properties:
The density of states at the Fermi level comes out at 1.08 states/eV/cell. The value obtained for the magnetization is 0.00 μB/f.u.

Cell: 6.835 6.835 6.835 Å, 151.63 139.81 49.92°
Element x y z (fractional)
Ag 0.466 0.466 0.000
P 0.854 0.354 0.500
P 0.974 0.974 0.000
K 0.206 0.706 0.500

=====

--- 2 ---
Entry from Alexandria: a relaxed structure of KAgP2 (PBE).

Computed properties:
The density of states at the Fermi level comes out at 1.13 states/eV/cell. The value obtained for the magnetization is 0.00 μB/f.u.

Cell: 4.910 4.910 4.910 Å, 60.00 60.00 60.00°
Element x y z (fractional)
Ag 0.500 0.500 0.500
P 0.250 0.250 0.250
P 0.000 0.000 0.000
K 0.750 0.750 0.750

=====

Quick ranking, most stable first: 1, 2.

=====

--- 1 ---
Entry from Alexandria: a relaxed structure of KAgP2 (PBE).

Computed properties:
The density of states at the Fermi level comes out at 2.74 states/eV/cell. The value obtained for the magnetization is 0.00 μB/f.u.

Cell: 2.994 2.994 8.895 Å, 90.00 90.00 90.01°
Element x y z (fractional)
K 0.500 0.500 0.750
P 0.000 0.000 0.465
P 0.000 0.000 0.035
Ag 0.500 0.500 0.250

=====

--- 2 ---
Entry from Alexandria: a relaxed structure of KAgP2 (PBE).

Computed properties:
The density of states at the Fermi level comes out at 2.85 states/eV/cell. The value obtained for the magnetization is 0.00 μB/f.u.

Cell: 5.368 5.368 5.368 Å, 132.16 132.16 69.97°
Element x y z (fractional)
P 0.000 0.000 0.000
P 0.500 0.500 0.000
Ag 0.250 0.750 0.500
K 0.750 0.250 0.500

=====

--- 3 ---
Entry from Alexandria: a relaxed structure of KAgP2 (PBE).

Computed properties:
The density of states at the Fermi level comes out at 1.06 states/eV/cell. The value obtained for the magnetization is 0.00 μB/f.u.

Cell: 3.729 3.731 6.654 Å, 90.00 90.00 90.00°
Element x y z (fractional)
K 0.500 0.500 0.750
P 0.000 0.000 0.408
P 0.000 0.000 0.092
Ag 0.500 0.500 0.250

=====

--- 4 ---
Entry from Alexandria: a relaxed structure of KAgP2 (PBE).

Computed properties:
The density of states at the Fermi level comes out at 1.39 states/eV/cell. The value obtained for the magnetization is 0.00 μB/f.u.

Cell: 6.696 5.696 2.725 Å, 90.00 65.98 119.76°
Element x y z (fractional)
P 0.500 0.000 0.500
P 0.000 0.000 0.000
Ag 0.000 0.500 0.500
K 0.500 0.500 0.000

=====

Quick ranking, most stable first: 3, 1, 4, 2.

=====

--- 1 ---
Entry from Alexandria: a relaxed structure of KAgP2 (PBE).

Computed properties:
The density of states at the Fermi level comes out at 2.86 states/eV/cell. The value obtained for the magnetization is 0.00 μB/f.u.

Cell: 4.873 4.873 4.873 Å, 60.00 60.00 60.00°
Element x y z (fractional)
Ag 0.500 0.500 0.500
K 0.000 0.000 0.000
P 0.750 0.750 0.750
P 0.250 0.250 0.250

=====

--- 2 ---
Entry from Alexandria: a relaxed structure of KAgP2 (PBE).

Computed properties:
The density of states at the Fermi level comes out at 0.82 states/eV/cell. The value obtained for the magnetization is 0.00 μB/f.u.

Cell: 4.415 3.947 6.130 Å, 89.96 90.00 90.00°
Element x y z (fractional)
K 0.500 0.750 0.750
P 0.000 0.250 0.071
P 0.000 0.250 0.429
Ag 0.500 0.250 0.250

=====

--- 3 ---
Entry from Alexandria: a relaxed structure of KAgP2 (PBE).

Computed properties:
The density of states at the Fermi level comes out at 2.97 states/eV/cell. The value obtained for the magnetization is 0.00 μB/f.u.

Cell: 8.958 8.958 8.958 Å, 21.98 21.98 21.98°
Element x y z (fractional)
P 0.262 0.262 0.262
P 0.976 0.976 0.976
K 0.743 0.743 0.743
Ag 0.518 0.518 0.518

=====

Quick ranking, most stable first: 2, 3, 1.